The following is a DFT calculation (PBE) of a relaxed Ti2Al3Ni7 crystal.

POSCAR file:
```
Ti2Al3Ni7
1.0
-1.707 2.705 2.504
-1.084 -3.093 2.603
8.846 2.508 3.319
Ti Ni Al
2 7 3
Direct
0.500 0.346 0.692
0.500 0.654 0.308
0.000 0.000 0.000
0.500 0.217 0.433
0.500 0.927 0.854
0.000 0.426 0.853
0.500 0.783 0.567
0.000 0.574 0.147
0.500 0.073 0.146
0.000 0.147 0.293
0.000 0.853 0.707
0.500 0.500 0.000
```

Computed properties:
ρ   6.0 g/cm3
DOS(E_F)   11.56 states/eV/cell
Energy of formation from the pure elements   -0.33 eV/atom
Total moment   0.00 μB/f.u.